Entry 1:
Density functional theory data (GGA-PBE) for PuPa2Nb after structural relaxation.

Cell lengths 7.1223, 7.1223, 7.1223 Å; angles 90.00, 90.00, 90.00 degrees
Element x y z (fractional)
Pu: 0.0000 0.0000 0.0000
Pu: 0.0000 0.5000 0.5000
Pu: 0.5000 0.0000 0.5000
Pu: 0.5000 0.5000 0.0000
Pa: 0.2500 0.2500 0.2500
Pa: 0.2500 0.2500 0.7500
Pa: 0.2500 0.7500 0.2500
Pa: 0.2500 0.7500 0.7500
Pa: 0.7500 0.2500 0.2500
Pa: 0.7500 0.2500 0.7500
Pa: 0.7500 0.7500 0.2500
Pa: 0.7500 0.7500 0.7500
Nb: 0.0000 0.0000 0.5000
Nb: 0.0000 0.5000 0.0000
Nb: 0.5000 0.0000 0.0000
Nb: 0.5000 0.5000 0.5000

- DFT formation energy (eV per formula unit) = 0.5
- energy above the lowest structure with this stoichiometry (meV/atom) = 12
- M_tot (μB per formula unit) = 5.89
- space group = Fm-3m

---

Entry 2:
Density functional theory data (GGA-PBE) for PuPa2Nb after structural relaxation.

Cell lengths 5.3358, 5.3358, 3.1416 Å; angles 90.00, 90.00, 90.00 degrees
Element x y z (fractional)
Pu: 0.0000 0.0000 0.0000
Pa: 0.0000 0.5000 0.5000
Pa: 0.5000 0.0000 0.5000
Nb: 0.5000 0.5000 0.0000

- DFT formation energy (eV per formula unit) = 0.6
- energy above the lowest structure with this stoichiometry (meV/atom) = 31
- M_tot (μB per formula unit) = 4.17
- space group = P4/mmm